In8GaBi2 | PBE | relaxed

ΔH_f (0 K)	41.9	meV per atom
E	-32.24	eV per formula unit
total magnetic moment	0.000	μB/cell
E above lowest polymorph	0	meV/atom

Cell lengths 4.6450, 8.1929, 9.4787 Å; angles 115.61, 104.18, 90.00 degrees
Closest atoms and distances in Å follow each position.
Fractional positions:
Bi: 0.2311 0.7312 0.4623  8 In 3.26-3.32
Bi: 0.7689 0.2688 0.5377  8 In 3.26-3.32
Ga: 0.5000 0.0000 0.0000  12 In 3.10-3.47
In: 0.6353 0.8415 0.2707  5 In 3.22-3.38, 3 Bi 3.26-3.28, 1 Ga 3.28
In: 0.3647 0.5708 0.7293  5 In 3.22-3.38, 3 Bi 3.26-3.28, 1 Ga 3.28
In: 0.1244 0.1244 0.2488  2 Ga 3.10, 6 In 3.29-3.35, 2 Bi 3.32
In: 0.0000 0.3141 0.0000  7 In 3.05-3.29
In: 0.8756 0.8756 0.7512  2 Ga 3.10, 6 In 3.29-3.35, 2 Bi 3.32
In: 0.6353 0.4292 0.2707  5 In 3.22-3.38, 3 Bi 3.26-3.28, 1 Ga 3.28
In: 0.3647 0.1585 0.7293  5 In 3.22-3.38, 3 Bi 3.26-3.28, 1 Ga 3.28
In: 0.0000 0.6859 0.0000  7 In 3.05-3.29



InGa2Bi2 | PBE | relaxed

ΔH_f (0 K)	85.6	meV per atom
E	-16.13	eV per formula unit
total magnetic moment	0.000	μB/cell
E above lowest polymorph	4	meV/atom

Cell lengths 4.4204, 4.4204, 8.1157 Å; angles 74.20, 74.20, 90.00 degrees
Closest atoms and distances in Å follow each position.
Fractional positions:
Bi: 0.3817 0.3817 0.2366  4 Ga 2.96
Bi: 0.6183 0.6183 0.7634  4 Ga 2.96
Ga: 0.7500 0.2500 0.5000  4 Bi 2.96, 4 Ga 3.13
Ga: 0.2500 0.7500 0.5000  4 Bi 2.96, 4 Ga 3.13
In: 0.0000 0.0000 0.0000  8 Bi 3.59



Question: Which formula does entry 1 have?
Answer: In8GaBi2



Question: Which value of ΔH_f (0 K) does entry 1 give?
Answer: 41.9 meV per atom